[1]
VASP calculation (GGA-PBE) on a relaxed structure of Na2TeHO4.

a b c (Å): 8.8011 6.5957 4.5626
angles (deg): 90.00 90.00 90.00
Element x y z (fractional)
Na  0.2155  0.1828  0.0000
Na  0.2845  0.8172  0.5000
Na  0.7155  0.8172  0.5000
Na  0.7845  0.1828  0.0000
Te  0.0000  0.6743  0.0014
Te  0.5000  0.3257  0.5014
H  0.0000  0.4946  0.4889
H  0.5000  0.5054  0.9889
O  0.0000  0.3825  0.9879
O  0.0000  0.6442  0.4764
O  0.1844  0.8280  0.0022
O  0.3156  0.1720  0.5022
O  0.5000  0.3558  0.9764
O  0.5000  0.6175  0.4879
O  0.6844  0.1720  0.5022
O  0.8156  0.8280  0.0022

Computed properties:
SG: Pmn2_1, No. 31
Volume: 264.9 Å³ per cell
Calculated total energy: -38.53 eV/f.u.
Total magnetization: 0.00 μB/f.u.

[2]
VASP calculation (GGA-PBE) on a relaxed structure of NaTi2HO5.

a b c (Å): 3.0533 3.6965 10.4798
angles (deg): 93.34 90.85 90.00
Element x y z (fractional)
Na  0.0000  0.0000  0.0000
Ti  0.4818  0.9415  0.6570
Ti  0.9712  0.4056  0.4413
H  0.4956  0.5111  0.1274
O  0.4660  0.3896  0.3420
O  0.4785  0.4314  0.5965
O  0.5034  0.5074  0.0342
O  0.9738  0.9158  0.5023
O  0.9869  0.9582  0.7568

Computed properties:
SG: P1, No. 1
Volume: 118.1 Å³ per cell
Calculated total energy: -66.90 eV/f.u.
Total magnetization: 0.15 μB/f.u.

[3]
VASP calculation (GGA-PBE) on a relaxed structure of NaTl2HO.

a b c (Å): 5.8460 5.8460 2.8223
angles (deg): 90.00 90.00 90.00
Element x y z (fractional)
Na  0.0000  0.0000  0.0000
Tl  0.0000  0.5000  0.5000
Tl  0.5000  0.0000  0.5000
H  0.5000  0.5000  0.5000
O  0.5000  0.5000  0.0000

Computed properties:
SG: P4/mmm, No. 123
Volume: 96.5 Å³ per cell
Calculated total energy: -14.72 eV/f.u.
Total magnetization: 0.00 μB/f.u.